First-principles (PBE with a Hubbard U) data for a relaxed structure of ZrPaCrO6, as listed in Alexandria via LeMat-Bulk.

```
ZrPaCrO6
1.0
5.5693 0.0000 0.0000
-2.7846 4.8231 0.0000
0.0000 0.0000 8.6570
Zr Pa Cr O
2 2 2 12
direct
0.3333 0.6667 0.2500 Zr
0.6667 0.3333 0.7500 Zr
0.3333 0.6667 0.7500 Pa
0.6667 0.3333 0.2500 Pa
0.0000 0.0000 0.0000 Cr
0.0000 0.0000 0.5000 Cr
0.0084 0.3292 0.1266 O
0.0084 0.6792 0.3734 O
0.3208 0.3292 0.3734 O
0.3208 0.9916 0.1266 O
0.3292 0.0084 0.6266 O
0.3292 0.3208 0.8734 O
0.6708 0.6792 0.1266 O
0.6708 0.9916 0.3734 O
0.6792 0.0084 0.8734 O
0.6792 0.6708 0.6266 O
0.9916 0.3208 0.6266 O
0.9916 0.6708 0.8734 O
```

- Raw total energy: -8.955 eV/atom
- Space-group type: P-31c (163)
- D(E_F): 0.00 states/eV per cell